## La2PuRh (PBE)

Data for La2PuRh after structural relaxation.

The structure belongs to space group R3m (No. 160, hexagonal axes); the cell edges are 3.9542, 3.9542 and 27.9571 Å and the angles 90.00°, 90.00° and 120.00°. The distinct sites, in fractional coordinates, are La at (0.0000, 0.0000, 0.0000), La at (0.0000, 0.0000, 0.2108), Pu at (0.0000, 0.0000, 0.7713) and Rh at (0.0000, 0.0000, 0.6057).

The formation energy is -0.19 eV/atom. For the energy above the most stable polymorph in this dataset, the calculation gives 33.6 meV/atom. The calculated volume comes out at 379 Å³ per cell. Its density of states at the Fermi level is 12.03 states/eV/f.u.

=====

## Nd3Er2Sb3 (PBE)

Data for Nd3Er2Sb3 after structural relaxation.

The structure belongs to space group Cmcm (No. 63); the cell edges are 4.489, 13.847 and 15.603 Å and the angles 90.00°, 90.00° and 90.00°. The distinct sites, in fractional coordinates, are Nd at (0.000, 0.049, 0.117), Nd at (0.000, 0.346, 0.250), Er at (0.000, 0.233, 0.591), Sb at (0.000, 0.364, 0.750) and Sb at (0.000, 0.396, 0.040).

For the energy relative to the elements, uncorrected, the calculation gives -0.819 eV per atom. The calculated volume comes out at 970 Å³ per cell. Its density of states at the Fermi level is 9.54 states/eV/f.u.

=====

## SrAuSe (PBE)

Data for SrAuSe after structural relaxation.

The structure belongs to space group F-43m (No. 216); the cell edges are 7.191, 7.191 and 7.191 Å and the angles 90.00°, 90.00° and 90.00°. The distinct sites, in fractional coordinates, are Sr at (0.000, 0.000, 0.000), Au at (0.250, 0.250, 0.250) and Se at (0.250, 0.250, 0.750).

For the energy above the most stable polymorph in this dataset, the calculation gives 191.5 meV/atom. For the energy relative to the elements, uncorrected, the calculation gives -0.732 eV per atom. The calculated volume comes out at 372 Å³ per cell. Its density of states at the Fermi level is 1.51 states/eV/f.u.

=====

## CaSb3As (PBE)

Data for CaSb3As after structural relaxation.

The structure belongs to space group Pm-3m (No. 221); the cell edges are 5.424, 5.424 and 5.424 Å and the angles 90.00°, 90.00° and 90.00°. The distinct sites, in fractional coordinates, are Ca at (0.000, 0.000, 0.000), Sb at (0.000, 0.500, 0.500) and As at (0.500, 0.500, 0.500).

For the energy above the most stable polymorph in this dataset, the calculation gives 0.0 meV/atom. For the energy relative to the elements, uncorrected, the calculation gives 0.147 eV per atom. The calculated volume comes out at 160 Å³ per cell. Its density of states at the Fermi level is 5.50 states/eV/f.u.

=====

## TlFeAs (PBE)

Data for TlFeAs after structural relaxation.

The structure belongs to space group P1 (No. 1); the cell edges are 3.249, 6.080 and 6.605 Å and the angles 110.35°, 103.53° and 91.31°. The distinct sites, in fractional coordinates, are Tl at (0.000, 0.000, 0.000), Tl at (0.440, 0.919, 0.502), Fe at (0.108, 0.456, 0.270), Fe at (0.344, 0.627, 0.729), As at (0.501, 0.523, 0.037) and As at (0.734, 0.372, 0.521).

The formation energy is 0.16 eV/atom. For the energy above the most stable polymorph in this dataset, the calculation gives 204.3 meV/atom. The calculated volume comes out at 118 Å³ per cell. Its density of states at the Fermi level is 2.27 states/eV/f.u.

=====

## TaPOs2 (PBE)

Data for TaPOs2 after structural relaxation.

The structure belongs to space group Cmm2 (No. 35); the cell edges are 3.061, 4.778 and 8.245 Å and the angles 90.00°, 90.00° and 90.00°. The distinct sites, in fractional coordinates, are Ta at (0.000, 0.000, 0.000), P at (0.000, 0.500, 0.757), Os at (0.000, 0.000, 0.547) and Os at (0.000, 0.500, 0.264).

The formation energy is 0.34 eV/atom. The calculated volume comes out at 121 Å³ per cell. Its density of states at the Fermi level is 3.26 states/eV/f.u.

=====

## In2HgGe (PBE)

Data for In2HgGe after structural relaxation.

The structure belongs to space group I-42d (No. 122); the cell edges are 8.126, 8.126 and 6.194 Å and the angles 90.00°, 90.00° and 90.00°. The distinct sites, in fractional coordinates, are In at (0.222, 0.250, 0.125), Hg at (0.000, 0.000, 0.500) and Ge at (0.000, 0.000, 0.000).

The formation energy is 0.14 eV/atom. For the energy above the most stable polymorph in this dataset, the calculation gives 47.2 meV/atom. The calculated volume comes out at 409 Å³ per cell. Its density of states at the Fermi level is 2.04 states/eV/f.u.

=====

## CaZr2Co2 (PBE)

Data for CaZr2Co2 after structural relaxation.

The structure belongs to space group P4/mbm (No. 127); the cell edges are 7.841, 7.841 and 3.009 Å and the angles 90.00°, 90.00° and 90.00°. The distinct sites, in fractional coordinates, are Ca at (0.000, 0.000, 0.000), Zr at (0.144, 0.356, 0.000) and Co at (0.144, 0.644, 0.500).

The formation energy is 0.02 eV/atom. For the energy above the most stable polymorph in this dataset, the calculation gives 112.6 meV/atom. The calculated volume comes out at 185 Å³ per cell. Its density of states at the Fermi level is 5.02 states/eV/f.u.

=====

## HfVRuPb2 (PBE)

Data for HfVRuPb2 after structural relaxation.

The structure belongs to space group P4/mmm (No. 123); the cell edges are 5.565, 5.565 and 4.674 Å and the angles 90.00°, 90.00° and 90.00°. The distinct sites, in fractional coordinates, are Hf at (0.000, 0.000, 0.000), V at (0.500, 0.500, 0.500), Ru at (0.000, 0.000, 0.500) and Pb at (0.000, 0.500, 0.000).

The formation energy is 1.47 eV/atom. The calculated volume comes out at 145 Å³ per cell. Its density of states at the Fermi level is 6.84 states/eV/f.u.

=====

## Lu4MnS7 (PBE)

Data for Lu4MnS7 after structural relaxation.

The structure belongs to space group Cm (No. 8); the cell edges are 12.339, 3.724 and 11.291 Å and the angles 90.00°, 104.81° and 90.00°. The distinct sites, in fractional coordinates, are Lu at (0.000, 0.000, 0.000), Lu at (0.080, 0.500, 0.366), Lu at (0.194, 0.500, 0.803), Lu at (0.388, 0.000, 0.600), Mn at (0.308, 0.500, 0.219), S at (0.034, 0.000, 0.747), S at (0.157, 0.500, 0.020), S at (0.198, 0.000, 0.296), S at (0.232, 0.500, 0.583), S at (0.354, 0.000, 0.848), S at (0.429, 0.000, 0.150) and S at (0.451, 0.500, 0.439).

For the energy relative to the elements, uncorrected, the calculation gives -1.774 eV per atom. The calculated volume comes out at 502 Å³ per cell.

=====

## CaLuCuAu (PBE)

Data for CaLuCuAu after structural relaxation.

The structure belongs to space group F-43m (No. 216); the cell edges are 7.037, 7.037 and 7.037 Å and the angles 90.00°, 90.00° and 90.00°. The distinct sites, in fractional coordinates, are Ca at (0.000, 0.000, 0.000), Lu at (0.000, 0.000, 0.500), Cu at (0.250, 0.250, 0.750) and Au at (0.250, 0.250, 0.250).

The formation energy is -0.47 eV/atom. The calculated volume comes out at 348 Å³ per cell. Its density of states at the Fermi level is 3.50 states/eV/f.u.

=====

## ErInGaCu (PBE)

Data for ErInGaCu after structural relaxation.

The structure belongs to space group F-43m (No. 216); the cell edges are 6.815, 6.815 and 6.815 Å and the angles 90.00°, 90.00° and 90.00°. The distinct sites, in fractional coordinates, are Er at (0.000, 0.000, 0.000), In at (0.000, 0.000, 0.500), Ga at (0.250, 0.250, 0.750) and Cu at (0.250, 0.250, 0.250).

The formation energy is -0.29 eV/atom. The calculated volume comes out at 317 Å³ per cell. Its density of states at the Fermi level is 0.55 states/eV/f.u.